# ZnGa2S4, relaxed, DFT PBE-GGA
# Space-group type: Fd-3m (227)
# E_tot in eV/atom: -4.02
data_ZnGa2S4
_space_group_name_H-M_alt 'P 1'
_space_group_IT_number 1
_cell_length_a 7.235
_cell_length_b 7.235
_cell_length_c 7.235
_cell_angle_alpha 60.00
_cell_angle_beta 60.00
_cell_angle_gamma 60.00
loop_
_space_group_symop_operation_xyz
'x,y,z'
loop_
_atom_site_label
_atom_site_fract_x
_atom_site_fract_y
_atom_site_fract_z
Zn1 0.125 0.125 0.125
Zn2 0.875 0.875 0.875
Ga1 0.000 0.500 0.500
Ga2 0.500 0.000 0.500
Ga3 0.500 0.500 0.000
Ga4 0.500 0.500 0.500
S1 0.259 0.259 0.259
S2 0.259 0.259 0.724
S3 0.259 0.724 0.259
S4 0.276 0.741 0.741
S5 0.724 0.259 0.259
S6 0.741 0.276 0.741
S7 0.741 0.741 0.276
S8 0.741 0.741 0.741



# ZnGa2S, relaxed, DFT PBE-GGA
# ΔE to the lowest computed polymorph in eV/atom: 0.103
# Space-group type: Fm-3m (225)
data_ZnGa2S
_space_group_name_H-M_alt 'P 1'
_space_group_IT_number 1
_cell_length_a 4.812
_cell_length_b 4.812
_cell_length_c 4.812
_cell_angle_alpha 60.00
_cell_angle_beta 60.00
_cell_angle_gamma 60.00
loop_
_space_group_symop_operation_xyz
'x,y,z'
loop_
_atom_site_label
_atom_site_fract_x
_atom_site_fract_y
_atom_site_fract_z
Zn1 0.000 0.000 0.000
Ga1 0.250 0.250 0.250
Ga2 0.750 0.750 0.750
S1 0.500 0.500 0.500